(1)
## MnReH2 (SCAN)

Data for MnReH2 at its PBEsol-relaxed geometry.

```
MnReH2
1.0
3.974 0.000 0.000
0.000 3.974 0.000
0.000 0.000 7.976
Mn Re H
4 4 8
Direct
0.000 0.000 0.000
0.000 0.500 0.250
0.500 0.000 0.750
0.500 0.500 0.500
0.000 0.000 0.500
0.000 0.500 0.750
0.500 0.000 0.250
0.500 0.500 0.000
0.216 0.250 0.125
0.250 0.716 0.375
0.250 0.784 0.875
0.284 0.250 0.625
0.716 0.750 0.625
0.750 0.216 0.875
0.750 0.284 0.375
0.784 0.750 0.125
```

Volume in Å³/atom: 7.87
DOS(E_F) in states/eV per atom: 0.33
M_tot in μB per cell: 9.105
VASP energy in eV/atom: -23.8741
Crystal system: tetragonal

---

(2)
## ErUTe6 (SCAN)

Data for ErUTe6 at its PBEsol-relaxed geometry.

```
ErUTe6
1.0
4.308 0.000 0.000
0.000 4.294 0.000
0.000 0.000 24.892
Er U Te
2 2 12
Direct
0.000 0.000 0.000
0.000 0.500 0.500
0.500 0.000 0.336
0.500 0.500 0.836
0.000 0.000 0.242
0.000 0.000 0.595
0.000 0.000 0.872
0.000 0.500 0.095
0.000 0.500 0.372
0.000 0.500 0.742
0.500 0.000 0.095
0.500 0.000 0.462
0.500 0.000 0.742
0.500 0.500 0.242
0.500 0.500 0.595
0.500 0.500 0.962
```

Volume in Å³/atom: 28.78
DOS(E_F) in states/eV per atom: 1.32
M_tot in μB per cell: 4.770
VASP energy in eV/atom: -47.9004
Uncorrected formation energy in eV per formula unit: -5.8
Crystal system: orthorhombic

---

(3)
## Li2IrW (SCAN)

Data for Li2IrW at its PBEsol-relaxed geometry.

```
Li2IrW
1.0
3.567 0.000 0.000
0.000 3.567 0.000
0.000 0.000 9.099
Li Ir W
4 2 2
Direct
0.000 0.500 0.250
0.000 0.500 0.750
0.500 0.000 0.250
0.500 0.000 0.750
0.000 0.000 0.000
0.500 0.500 0.500
0.000 0.000 0.500
0.500 0.500 0.000
```

Volume in Å³/atom: 14.47
DOS(E_F) in states/eV per atom: 0.47
M_tot in μB per cell: 0.000
Calculated formation energy in meV per atom: 110
VASP energy in eV/atom: -36.2815
Crystal system: tetragonal

---

(4)
## InSb2Se (SCAN)

Data for InSb2Se at its PBEsol-relaxed geometry.

```
InSb2Se
1.0
3.650 0.000 0.000
0.000 4.116 0.000
0.000 0.000 6.567
In Sb Se
1 2 1
Direct
0.000 0.000 0.000
0.500 0.500 0.273
0.500 0.500 0.727
0.000 0.000 0.500
```

Volume in Å³/atom: 24.66
ΔE to the lowest computed polymorph in meV/atom: 364
DOS(E_F) in states/eV per atom: 0.54
M_tot in μB per cell: 0.000
VASP energy in eV/atom: -31.7564
Uncorrected formation energy in eV per formula unit: 1.0
Crystal system: orthorhombic

---

(5)
## LaNi2Ru (SCAN)

Data for LaNi2Ru at its PBEsol-relaxed geometry.

```
LaNi2Ru
1.0
4.161 0.000 0.000
-2.081 3.604 0.000
0.000 0.000 14.378
La Ni Ru
3 6 3
Direct
0.000 0.000 0.000
0.333 0.667 0.667
0.667 0.333 0.333
0.000 0.000 0.503
0.000 0.000 0.809
0.333 0.667 0.170
0.333 0.667 0.476
0.667 0.333 0.143
0.667 0.333 0.836
0.000 0.000 0.185
0.333 0.667 0.852
0.667 0.333 0.518
```

Volume in Å³/atom: 17.97
DOS(E_F) in states/eV per atom: 0.78
M_tot in μB per cell: 0.000
Calculated formation energy in meV per atom: -165
VASP energy in eV/atom: -27.7347
Crystal system: trigonal

---

(6)
## NaMgSO4F (SCAN)

Data for NaMgSO4F at its PBEsol-relaxed geometry.

```
NaMgSO4F
1.0
3.327 -4.296 0.000
3.327 4.296 0.000
-2.911 0.000 6.451
Na Mg S O F
2 2 2 8 2
Direct
0.169 0.831 0.750
0.831 0.169 0.250
0.500 0.500 0.000
0.500 0.500 0.500
0.178 0.822 0.250
0.822 0.178 0.750
0.095 0.245 0.901
0.178 0.624 0.362
0.245 0.095 0.401
0.376 0.822 0.138
0.624 0.178 0.862
0.755 0.905 0.599
0.822 0.376 0.638
0.905 0.755 0.099
0.421 0.579 0.750
0.579 0.421 0.250
```

Volume in Å³/atom: 11.53
DOS(E_F) in states/eV per atom: 0.00
M_tot in μB per cell: 0.000
VASP energy in eV/atom: -8.3715
Uncorrected formation energy in eV per formula unit: -19.7
Crystal system: monoclinic

---

(7)
## Ca2ZnCr (SCAN)

Data for Ca2ZnCr at its PBEsol-relaxed geometry.

```
Ca2ZnCr
1.0
3.661 0.000 0.000
0.000 3.661 0.000
0.000 0.000 7.343
Ca Zn Cr
2 1 1
Direct
0.000 0.000 0.239
0.000 0.000 0.761
0.500 0.500 0.000
0.500 0.500 0.500
```

Volume in Å³/atom: 24.61
DOS(E_F) in states/eV per atom: 0.72
M_tot in μB per cell: 5.157
Calculated formation energy in meV per atom: 83
VASP energy in eV/atom: -12.7237
Crystal system: tetragonal

---

(8)
## TaMn2Ni (SCAN)

Data for TaMn2Ni at its PBEsol-relaxed geometry.

```
TaMn2Ni
1.0
8.347 0.000 0.000
0.000 2.826 0.000
-0.990 0.000 4.184
Ta Mn Ni
2 4 2
Direct
0.000 0.000 0.000
0.500 0.500 0.000
0.239 0.000 0.705
0.261 0.500 0.295
0.739 0.500 0.705
0.761 0.000 0.295
0.000 0.500 0.500
0.500 0.000 0.500
```

Volume in Å³/atom: 12.34
ΔE to the lowest computed polymorph in meV/atom: 241
DOS(E_F) in states/eV per atom: 1.06
M_tot in μB per cell: 5.369
Calculated formation energy in meV per atom: 111
VASP energy in eV/atom: -29.7054
Crystal system: monoclinic

---

(9)
## CsTlGa2Te (SCAN)

Data for CsTlGa2Te at its PBEsol-relaxed geometry.

```
CsTlGa2Te
1.0
5.709 0.000 0.000
0.000 5.709 0.000
0.000 0.000 6.352
Cs Tl Ga Te
1 1 2 1
Direct
0.000 0.000 0.000
0.500 0.500 0.000
0.000 0.500 0.500
0.500 0.000 0.500
0.500 0.500 0.500
```

Volume in Å³/atom: 41.41
DOS(E_F) in states/eV per atom: 0.91
M_tot in μB per cell: 0.000
VASP energy in eV/atom: -35.7822
Uncorrected formation energy in eV per formula unit: 1.2
Crystal system: tetragonal

---

(10)
## Ta3MnC (SCAN)

Data for Ta3MnC at its PBEsol-relaxed geometry.

```
Ta3MnC
1.0
4.477 0.000 0.000
0.000 4.477 0.000
0.000 0.000 4.477
Ta Mn C
3 1 1
Direct
0.000 0.000 0.500
0.000 0.500 0.000
0.500 0.000 0.000
0.000 0.000 0.000
0.500 0.500 0.500
```

Volume in Å³/atom: 17.95
DOS(E_F) in states/eV per atom: 0.51
M_tot in μB per cell: 0.000
Calculated formation energy in meV per atom: 1972
VASP energy in eV/atom: -43.6490
Crystal system: cubic

---

(11)
## SrZnAs2 (SCAN)

Data for SrZnAs2 at its PBEsol-relaxed geometry.

```
SrZnAs2
1.0
3.692 0.000 0.000
0.000 3.692 0.000
0.000 0.000 6.571
Sr Zn As
1 1 2
Direct
0.000 0.000 0.000
0.500 0.500 0.298
0.000 0.000 0.525
0.500 0.500 0.676
```

Volume in Å³/atom: 22.39
DOS(E_F) in states/eV per atom: 0.32
M_tot in μB per cell: 0.000
Calculated formation energy in meV per atom: -258
VASP energy in eV/atom: -19.3007
Crystal system: tetragonal

---

(12)
## CsIn3Pd (SCAN)

Data for CsIn3Pd at its PBEsol-relaxed geometry.

```
CsIn3Pd
1.0
5.259 0.000 0.000
0.000 5.259 0.000
0.000 0.000 5.259
Cs In Pd
1 3 1
Direct
0.000 0.000 0.000
0.000 0.500 0.500
0.500 0.000 0.500
0.500 0.500 0.000
0.500 0.500 0.500
```

Volume in Å³/atom: 29.09
DOS(E_F) in states/eV per atom: 0.62
M_tot in μB per cell: 0.000
Calculated formation energy in meV per atom: -175
VASP energy in eV/atom: -34.3239
Crystal system: cubic

---

(13)
## CaP3Ir (SCAN)

Data for CaP3Ir at its PBEsol-relaxed geometry.

```
CaP3Ir
1.0
4.674 0.000 0.000
0.000 4.674 0.000
0.000 0.000 4.674
Ca P Ir
1 3 1
Direct
0.000 0.000 0.000
0.000 0.500 0.500
0.500 0.000 0.500
0.500 0.500 0.000
0.500 0.500 0.500
```

Volume in Å³/atom: 20.42
DOS(E_F) in states/eV per atom: 0.89
M_tot in μB per cell: 0.000
Calculated formation energy in meV per atom: 147
VASP energy in eV/atom: -22.2452
Crystal system: cubic

---

(14)
## NiS2BrCl (SCAN)

Data for NiS2BrCl at its PBEsol-relaxed geometry.

```
NiS2BrCl
1.0
4.467 0.000 0.000
0.000 4.467 0.000
0.000 0.000 4.447
Ni S Br Cl
1 2 1 1
Direct
0.000 0.000 0.000
0.000 0.500 0.000
0.500 0.000 0.000
0.500 0.500 0.500
0.000 0.000 0.500
```

Volume in Å³/atom: 17.75
DOS(E_F) in states/eV per atom: 0.93
M_tot in μB per cell: 0.000
VASP energy in eV/atom: -12.1838
Uncorrected formation energy in eV per formula unit: 1.9
Crystal system: tetragonal

---

(15)
## Ba2MgMoRu (SCAN)

Data for Ba2MgMoRu at its PBEsol-relaxed geometry.

```
Ba2MgMoRu
1.0
6.107 0.000 0.000
0.000 6.107 0.000
0.000 0.000 4.956
Ba Mg Mo Ru
2 1 1 1
Direct
0.000 0.500 0.000
0.500 0.000 0.000
0.000 0.000 0.000
0.000 0.000 0.500
0.500 0.500 0.500
```

Volume in Å³/atom: 36.97
DOS(E_F) in states/eV per atom: 0.88
M_tot in μB per cell: 5.819
Calculated formation energy in meV per atom: 1703
VASP energy in eV/atom: -29.0541
Crystal system: tetragonal

---

(16)
## MnAs (SCAN)

Data for MnAs at its PBEsol-relaxed geometry.

```
MnAs
1.0
3.577 0.000 0.000
-1.789 3.098 0.000
0.000 0.000 5.341
Mn As
2 2
Direct
0.000 0.000 0.000
0.000 0.000 0.500
0.333 0.667 0.250
0.667 0.333 0.750
```

Volume in Å³/atom: 14.80
DOS(E_F) in states/eV per atom: 0.45
M_tot in μB per cell: 6.257
Calculated formation energy in meV per atom: -484
VASP energy in eV/atom: -19.7066
Crystal system: hexagonal

---

(17)
## NaFe2Os (SCAN)

Data for NaFe2Os at its PBEsol-relaxed geometry.

```
NaFe2Os
1.0
5.835 0.000 0.000
0.000 5.835 0.000
0.000 0.000 5.835
Na Fe Os
4 8 4
Direct
0.000 0.000 0.000
0.000 0.500 0.500
0.500 0.000 0.500
0.500 0.500 0.000
0.250 0.250 0.250
0.250 0.250 0.750
0.250 0.750 0.250
0.250 0.750 0.750
0.750 0.250 0.250
0.750 0.250 0.750
0.750 0.750 0.250
0.750 0.750 0.750
0.000 0.000 0.500
0.000 0.500 0.000
0.500 0.000 0.000
0.500 0.500 0.500
```

Volume in Å³/atom: 12.42
DOS(E_F) in states/eV per atom: 1.23
M_tot in μB per cell: 25.916
Calculated formation energy in meV per atom: 844
VASP energy in eV/atom: -27.2445
Crystal system: cubic

---

(18)
## Y2HgB (SCAN)

Data for Y2HgB at its PBEsol-relaxed geometry.

```
Y2HgB
1.0
6.934 0.000 0.000
0.000 6.934 0.000
0.000 0.000 6.934
Y Hg B
8 4 4
Direct
0.250 0.250 0.250
0.250 0.250 0.750
0.250 0.750 0.250
0.250 0.750 0.750
0.750 0.250 0.250
0.750 0.250 0.750
0.750 0.750 0.250
0.750 0.750 0.750
0.000 0.000 0.000
0.000 0.500 0.500
0.500 0.000 0.500
0.500 0.500 0.000
0.000 0.000 0.500
0.000 0.500 0.000
0.500 0.000 0.000
0.500 0.500 0.500
```

Volume in Å³/atom: 20.83
DOS(E_F) in states/eV per atom: 0.62
M_tot in μB per cell: 0.000
Calculated formation energy in meV per atom: -117
VASP energy in eV/atom: -32.9369
Crystal system: cubic

---

(19)
## Zr2TeIr (SCAN)

Data for Zr2TeIr at its PBEsol-relaxed geometry.

```
Zr2TeIr
1.0
3.996 0.000 0.000
0.000 3.996 0.000
0.000 0.000 9.596
Zr Te Ir
4 2 2
Direct
0.000 0.000 0.000
0.000 0.500 0.250
0.500 0.000 0.750
0.500 0.500 0.500
0.000 0.500 0.750
0.500 0.000 0.250
0.000 0.000 0.500
0.500 0.500 0.000
```

Volume in Å³/atom: 19.16
DOS(E_F) in states/eV per atom: 0.60
M_tot in μB per cell: 0.000
VASP energy in eV/atom: -43.0427
Uncorrected formation energy in eV per formula unit: -2.4
Crystal system: tetragonal

---

(20)
## Rb2LiPrBr6 (SCAN)

Data for Rb2LiPrBr6 at its PBEsol-relaxed geometry.

```
Rb2LiPrBr6
1.0
0.000 5.517 5.517
5.517 0.000 5.517
5.517 5.517 0.000
Rb Li Pr Br
2 1 1 6
Direct
0.250 0.250 0.250
0.750 0.750 0.750
0.000 0.000 0.000
0.500 0.500 0.500
0.241 0.241 0.759
0.241 0.759 0.241
0.241 0.759 0.759
0.759 0.241 0.241
0.759 0.241 0.759
0.759 0.759 0.241
```

Volume in Å³/atom: 33.59
DOS(E_F) in states/eV per atom: 0.00
M_tot in μB per cell: 0.000
VASP energy in eV/atom: -22.3675
Uncorrected formation energy in eV per formula unit: -19.7
Crystal system: cubic